# 1
ErBiMo | PBE | relaxed

The calculation puts the magnetic moment at 3.5 μB per formula unit. For the total energy, the calculation gives -0.40614 Ry per atom.

The structure in POSCAR format:
```
ErBiMo
1.0
-4.442 -2.271 0.245
-2.813 0.452 4.103
-4.198 2.704 -0.136
Bi Er Mo
1 1 1
direct
0.250 0.250 0.250
0.000 0.000 0.000
0.750 0.750 0.750
```



# 2
Er3BiN2 | PBE | relaxed

The calculation puts the magnetic moment at 0.0 μB per formula unit. For the total energy, the calculation gives -0.52020 Ry per atom.

The structure in POSCAR format:
```
Er3BiN2
1.0
3.509 0.000 0.000
-1.754 3.039 0.000
0.000 0.000 10.310
Er N Bi
3 2 1
direct
0.667 0.333 0.754
0.000 0.000 0.500
0.333 0.667 0.246
0.333 0.667 0.640
0.667 0.333 0.360
0.000 0.000 0.000
```



# 3
Er3Bi2N | PBE | relaxed

The calculation puts the magnetic moment at 0.0 μB per formula unit. For the total energy, the calculation gives -0.42951 Ry per atom.

The structure in POSCAR format:
```
Er3Bi2N
1.0
-2.668 -0.398 -2.815
0.533 -2.857 2.599
-7.503 4.492 6.477
Bi Er N
2 3 1
direct
0.333 0.667 0.189
0.667 0.333 0.811
0.667 0.333 0.387
0.333 0.667 0.613
0.000 0.000 0.000
0.000 0.000 0.500
```



# 4
ErBiN2O | PBE | relaxed

The calculation puts the magnetic moment at 0.0 μB per formula unit. For the total energy, the calculation gives -0.49388 Ry per atom.

The structure in POSCAR format:
```
ErBiN2O
1.0
5.712 0.000 0.000
2.851 5.034 0.000
2.766 1.740 5.067
O N Bi Er
2 4 2 2
direct
0.441 0.037 0.770
0.959 0.243 0.242
0.767 0.451 0.746
0.031 0.777 0.737
0.542 0.967 0.264
0.242 0.542 0.249
0.145 0.149 0.564
0.869 0.833 0.432
0.362 0.363 0.913
0.642 0.640 0.083
```



# 5
ErBiN2O | PBE | relaxed

The calculation puts the magnetic moment at 0.0 μB per formula unit. For the total energy, the calculation gives -0.48853 Ry per atom.

The structure in POSCAR format:
```
ErBiN2O
1.0
5.777 0.000 0.000
-2.827 5.255 0.000
-2.847 -1.567 9.375
Er O N Bi
4 4 8 4
direct
0.263 0.672 0.857
0.753 0.398 0.107
0.683 0.896 0.606
0.227 0.118 0.359
0.863 0.060 0.415
0.681 0.985 0.842
0.872 0.576 0.907
0.865 0.807 0.158
0.342 0.325 0.921
0.115 0.325 0.158
0.326 0.528 0.651
0.296 0.767 0.395
0.633 0.249 0.581
0.084 0.855 0.670
0.419 0.957 0.078
0.619 0.445 0.314
0.487 0.731 0.243
0.044 0.020 0.002
0.453 0.261 0.737
0.976 0.526 0.500
```



# 6
ErBiN2O | PBE | relaxed

The calculation puts the magnetic moment at 0.0 μB per formula unit. For the total energy, the calculation gives -0.49792 Ry per atom.

The structure in POSCAR format:
```
ErBiN2O
1.0
-2.870 2.677 0.418
-0.696 -0.059 -4.397
-2.967 -3.331 0.514
N O Bi Er
2 1 1 1
direct
0.903 0.000 0.985
0.901 0.000 0.301
0.400 0.500 0.379
0.398 0.000 0.622
0.899 0.500 0.173
```



# 7
ErBiN2O | PBE | relaxed

The calculation puts the magnetic moment at 0.0 μB per formula unit. For the total energy, the calculation gives -0.45857 Ry per atom.

The structure in POSCAR format:
```
ErBiN2O
1.0
6.060 0.000 0.000
-3.030 5.248 0.000
0.000 0.000 14.626
O N Bi Er
6 12 6 6
direct
0.519 0.038 0.250
0.962 0.481 0.250
0.481 0.519 0.750
0.481 0.962 0.750
0.519 0.481 0.250
0.038 0.519 0.750
0.141 0.282 0.110
0.859 0.718 0.610
0.282 0.141 0.610
0.859 0.141 0.610
0.859 0.141 0.890
0.141 0.282 0.390
0.141 0.859 0.390
0.859 0.718 0.890
0.718 0.859 0.390
0.282 0.141 0.890
0.141 0.859 0.110
0.718 0.859 0.110
0.333 0.667 0.137
0.667 0.333 0.863
0.000 0.000 0.000
0.333 0.667 0.363
0.667 0.333 0.637
0.000 0.000 0.500
0.000 0.000 0.250
0.333 0.667 0.645
0.667 0.333 0.145
0.333 0.667 0.855
0.000 0.000 0.750
0.667 0.333 0.355
```



# 8
ErBiN2O | PBE | relaxed

The calculation puts the magnetic moment at 0.0 μB per formula unit. For the total energy, the calculation gives -0.48983 Ry per atom.

The structure in POSCAR format:
```
ErBiN2O
1.0
-1.599 -7.166 3.215
5.142 0.046 2.660
-2.477 2.680 4.740
Er O N Bi
4 4 8 4
direct
0.500 0.226 0.431
0.000 0.763 0.042
0.500 0.774 0.931
0.000 0.237 0.542
0.674 0.944 0.196
0.326 0.056 0.696
0.674 0.056 0.696
0.326 0.944 0.196
0.798 0.603 0.834
0.202 0.397 0.334
0.798 0.397 0.334
0.202 0.603 0.834
0.000 0.879 0.413
0.500 0.613 0.567
0.500 0.387 0.067
0.000 0.121 0.913
0.248 0.273 0.994
0.752 0.273 0.994
0.248 0.727 0.494
0.752 0.727 0.494
```



# 9
ErBiN2O | PBE | relaxed

The calculation puts the magnetic moment at 0.0 μB per formula unit. For the total energy, the calculation gives -0.49071 Ry per atom.

The structure in POSCAR format:
```
ErBiN2O
1.0
3.609 0.000 0.000
0.000 6.638 0.000
0.000 0.000 6.031
Er N Bi O
2 4 2 2
direct
0.000 0.355 0.935
0.000 0.645 0.435
0.500 0.876 0.347
0.000 0.319 0.550
0.500 0.124 0.847
0.000 0.681 0.050
0.500 0.831 0.975
0.500 0.169 0.475
0.500 0.606 0.693
0.500 0.394 0.193
```



# 10
ErBiN2O | PBE | relaxed

The calculation puts the magnetic moment at 0.0 μB per formula unit. For the total energy, the calculation gives -0.49138 Ry per atom.

The structure in POSCAR format:
```
ErBiN2O
1.0
8.582 0.000 0.000
0.000 5.566 0.000
0.000 0.000 5.835
O Er Bi N
4 4 4 8
direct
0.500 0.902 0.545
0.000 0.598 0.407
0.500 0.098 0.045
0.000 0.402 0.907
0.000 0.779 0.044
0.500 0.279 0.408
0.000 0.221 0.544
0.500 0.721 0.908
0.750 0.250 0.976
0.250 0.250 0.976
0.250 0.750 0.476
0.750 0.750 0.476
0.331 0.557 0.173
0.169 0.057 0.279
0.331 0.443 0.673
0.831 0.057 0.279
0.669 0.557 0.173
0.169 0.943 0.779
0.669 0.443 0.673
0.831 0.943 0.779
```



# 11
ErBiN2O | PBE | relaxed

The calculation puts the magnetic moment at 0.1 μB per formula unit. For the total energy, the calculation gives -0.45654 Ry per atom.

The structure in POSCAR format:
```
ErBiN2O
1.0
5.864 0.000 0.000
0.000 4.015 0.000
0.000 0.000 6.269
N Er O Bi
4 2 2 2
direct
0.250 0.500 0.164
0.750 0.500 0.836
0.500 0.000 0.500
0.000 0.000 0.500
0.750 0.500 0.184
0.250 0.500 0.816
0.500 0.000 0.000
0.000 0.000 0.000
0.250 0.000 0.271
0.750 0.000 0.729
```



# 12
ErBiN2O | PBE | relaxed

The calculation puts the magnetic moment at 0.0 μB per formula unit. For the total energy, the calculation gives -0.49487 Ry per atom.

The structure in POSCAR format:
```
ErBiN2O
1.0
-4.973 -5.475 1.842
3.569 -1.064 7.784
-5.289 5.796 3.761
N Bi O Er
16 8 8 8
direct
0.478 0.833 0.985
0.280 0.495 0.877
0.471 0.167 0.015
0.968 0.319 0.537
0.984 0.697 0.101
0.856 0.209 0.247
0.465 0.783 0.632
0.759 0.615 0.760
0.777 0.996 0.630
0.669 0.505 0.123
0.485 0.216 0.369
0.981 0.681 0.462
0.965 0.303 0.898
0.172 0.005 0.370
0.094 0.791 0.753
0.191 0.385 0.240
0.730 0.203 0.485
0.734 0.710 0.977
0.215 0.290 0.023
0.219 0.797 0.515
0.218 0.224 0.462
0.731 0.776 0.538
0.723 0.276 0.038
0.227 0.724 0.962
0.665 0.512 0.460
0.326 0.736 0.281
0.688 0.875 0.302
0.787 0.984 0.971
0.624 0.264 0.720
0.261 0.124 0.698
0.162 0.016 0.029
0.284 0.487 0.540
0.437 0.969 0.212
0.917 0.496 0.296
0.032 0.505 0.704
0.513 0.031 0.788
0.951 0.949 0.205
0.443 0.507 0.305
0.998 0.051 0.795
0.506 0.493 0.695
```